Record 1
# PBE DyPu3Tl4Se8, relaxed
# raw formation energy: -1174 meV/atom
data_DyPu3Tl4Se8
_symmetry_space_group_name_H-M 'R -3 m'
_symmetry_Int_Tables_number 166
_symmetry_space_group_name_Hall '-R 3 2"'
_cell_length_a 8.4626
_cell_length_b 8.4626
_cell_length_c 23.1449
_cell_angle_alpha 90.00
_cell_angle_beta 90.00
_cell_angle_gamma 120.00
loop_
_atom_site_label
_atom_site_fract_x
_atom_site_fract_y
_atom_site_fract_z
Dy1 0.0000 0.0000 0.0000
Pu1 0.0000 0.5000 0.0000
Tl1 0.0000 0.0000 0.5000
Tl2 0.0000 0.5000 0.5000
Se1 0.0000 0.0000 0.2659
Se2 0.0026 0.5013 0.7347



Record 2
# PBE Tl3ZnCu2F9, relaxed
# raw formation energy: -1792 meV/atom
data_Tl3ZnCu2F9
_symmetry_space_group_name_H-M 'P -3 m 1'
_symmetry_Int_Tables_number 164
_symmetry_space_group_name_Hall '-P 3 2"'
_cell_length_a 5.9003
_cell_length_b 5.9003
_cell_length_c 7.2212
_cell_angle_alpha 90.00
_cell_angle_beta 90.00
_cell_angle_gamma 120.00
loop_
_atom_site_label
_atom_site_fract_x
_atom_site_fract_y
_atom_site_fract_z
Tl1 0.0000 0.0000 0.0000
Tl2 0.3333 0.6667 0.6646
Zn1 0.0000 0.0000 0.5000
Cu1 0.3333 0.6667 0.1633
F1 0.0000 0.5000 0.0000
F2 0.1670 0.3340 0.3320



Record 3
# PBE Ac3La, relaxed
# formation enthalpy at 0 K: 0.0154 eV per atom
data_Ac3La
_symmetry_space_group_name_H-M 'P 4/m m m'
_symmetry_Int_Tables_number 123
_symmetry_space_group_name_Hall '-P 4 2'
_cell_length_a 3.941
_cell_length_b 3.941
_cell_length_c 11.092
_cell_angle_alpha 90.00
_cell_angle_beta 90.00
_cell_angle_gamma 90.00
loop_
_atom_site_label
_atom_site_fract_x
_atom_site_fract_y
_atom_site_fract_z
Ac1 0.000 0.000 0.000
Ac2 0.500 0.500 0.259
La1 0.000 0.000 0.500



Record 4
# PBE CdB3P, relaxed
# formation enthalpy at 0 K: 1.4073 eV per atom
data_CdB3P
_symmetry_space_group_name_H-M 'P m -3 m'
_symmetry_Int_Tables_number 221
_symmetry_space_group_name_Hall '-P 4 2 3'
_cell_length_a 3.971
_cell_length_b 3.971
_cell_length_c 3.971
_cell_angle_alpha 90.00
_cell_angle_beta 90.00
_cell_angle_gamma 90.00
loop_
_atom_site_label
_atom_site_fract_x
_atom_site_fract_y
_atom_site_fract_z
Cd1 0.000 0.000 0.000
B1 0.000 0.500 0.500
P1 0.500 0.500 0.500



| no. | energy (eV per atom) | V (A^3/atom) |
| --- | --- | --- |
| 1 | -6.482 | 29.91 |
| 2 | -4.019 | 14.51 |
| 3 | -4.298 | 43.07 |
| 4 | -3.864 | 12.52 |